First-principles (meta-GGA SCAN) data for a PBEsol-optimized structure of VH10SO10, as listed in Alexandria.

Calculated values
- uncorrected energy (eV/atom) = -7.009
- crystal system = monoclinic
- N(E_F) (states/eV per cell) = 0.0

Cell and atoms, written as extended XYZ:
```
88
Lattice="-2.432 4.700 -4.458 -7.066 -6.072 -2.546 -6.147 3.099 9.670" Properties=species:S:1:pos:R:3 pbc="T T T"
V -5.782 2.653 -0.378
V -8.368 -0.437 -4.151
V -9.863 -0.926 3.044
V -7.277 2.164 6.817
H -2.585 0.376 -0.725
H -7.939 -1.833 1.085
H -13.061 1.351 3.391
H -7.707 3.560 1.581
H -3.553 -0.555 -1.625
H -9.211 -2.827 1.178
H -12.093 2.282 4.291
H -6.435 4.554 1.488
H -3.948 4.414 0.142
H -6.418 1.053 -3.307
H -11.698 -2.688 2.524
H -9.228 0.674 5.973
H -5.016 5.243 -0.846
H -6.112 -0.430 -2.593
H -10.630 -3.516 3.513
H -9.533 2.157 5.259
H -5.294 -0.461 3.083
H -7.431 -2.888 -3.516
H -10.352 2.188 -0.417
H -8.215 4.615 6.182
H -7.056 3.216 -2.546
H -8.777 -2.446 -2.589
H -8.590 -1.489 5.212
H -6.869 4.172 5.255
H -6.732 0.247 0.177
H -8.002 -5.322 -1.334
H -8.914 1.480 2.490
H -7.643 7.049 4.000
H -8.006 1.170 -0.190
H -2.751 3.962 -3.115
H -7.640 0.557 2.857
H -12.895 -2.235 5.782
H -3.957 2.225 -2.770
H -9.556 0.539 -1.529
H -11.689 -0.498 5.436
H -6.090 1.188 4.195
H -9.787 5.538 5.308
H -9.951 0.258 0.035
H -5.859 -3.811 -2.642
H -5.695 1.469 2.631
S -3.191 2.201 1.506
S -5.443 -2.034 -0.465
S -12.455 -0.474 1.161
S -10.203 3.761 3.131
O -4.987 1.928 -1.593
O -9.448 0.044 -3.037
O -10.659 -0.201 4.260
O -6.198 1.683 5.703
O -6.887 3.777 1.060
O -13.005 1.887 4.228
O -8.759 -2.050 1.606
O -2.641 -0.160 -1.562
O -4.663 2.013 1.200
O -5.837 -3.450 -0.832
O -10.983 -0.286 1.466
O -9.809 5.177 3.498
O -4.783 4.371 -0.397
O -6.725 0.115 -3.180
O -10.863 -2.644 3.063
O -8.921 1.611 5.846
O -7.198 3.380 -1.564
O -8.257 -2.285 -3.434
O -8.448 -1.654 4.231
O -7.389 4.012 6.100
O -7.035 1.207 0.129
O -9.591 -1.119 -5.549
O -8.611 0.520 2.537
O -6.054 2.845 8.216
O -2.401 1.227 0.719
O -6.586 -1.365 0.195
O -13.245 0.499 1.948
O -9.060 3.091 2.471
O -3.009 1.962 2.953
O -5.091 -1.337 -1.720
O -12.637 -0.235 -0.287
O -10.555 3.064 4.386
O -9.860 -2.487 -1.387
O -4.274 -2.073 0.446
O -5.786 4.213 4.053
O -11.371 3.800 2.221
O -3.253 2.502 -3.449
O -9.513 0.903 -0.581
O -12.393 -0.775 6.115
O -6.133 0.823 3.247
```